# CeIN | Alexandria | PBE-GGA | optimized geometry
data_CeIN
_cell_length_a 4.000
_cell_length_b 7.249
_cell_length_c 7.309
_cell_angle_alpha 70.13
_cell_angle_beta 90.13
_cell_angle_gamma 90.00
_space_group_name_H-M_alt 'P 1'
_space_group_IT_number 1
_space_group_name_Hall 'P 1'
loop_
_atom_site_label
_atom_site_fract_x
_atom_site_fract_y
_atom_site_fract_z
Ce1 0.750 0.700 0.984
Ce2 0.250 0.300 0.016
I1 0.749 0.177 0.714
I2 0.251 0.823 0.286
N1 0.750 0.377 0.093
N2 0.250 0.623 0.907
# **Density**: 4.68 g/cm3
# **Calculated total energy**: -6.565 eV per atom
# **Total magnetization**: 0.00 Bohr magnetons per cell